# 1
# Cu2Ni3Rh

A relaxed Cu2Ni3Rh crystal (PBE-GGA, Alexandria). Values from VASP.

```
&SYSTEM
  ibrav = 0, nat = 12, ntyp = 3
/
ATOMIC_SPECIES
Cu 63.55 Cu.upf
Ni 58.69 Ni.upf
Rh 102.91 Rh.upf
CELL_PARAMETERS angstrom
4.790 0.000 -1.760
-0.277 4.382 -0.755
-0.273 1.132 6.657
ATOMIC_POSITIONS angstrom
Cu 1.870 2.592 3.293
Cu 0.567 4.783 3.343
Cu 3.673 0.731 0.799
Cu 2.370 2.922 0.849
Ni 2.776 3.286 -1.663
Ni 1.737 1.095 -0.852
Ni 2.946 4.779 2.483
Ni -0.051 2.926 1.725
Ni 4.291 2.588 2.417
Ni 1.294 0.735 1.659
Rh 4.108 1.095 -1.723
Rh 0.405 3.286 -0.791
```

Calculated values
Space group ... C2/c (15)
V ... 71.1 Å³/f.u.
Raw total energy ... -0.1998 hartree per atom
Spin magnetization ... 3.35 Bohr magnetons per cell
E_form ... 0.044 eV per atom

***

# 2
# Zn2CuSe

A relaxed Zn2CuSe crystal (PBE-GGA, Alexandria). Values from VASP.

```
&SYSTEM
  ibrav = 0, nat = 4, ntyp = 3
/
ATOMIC_SPECIES
Cu 63.55 Cu.upf
Se 78.96 Se.upf
Zn 65.41 Zn.upf
CELL_PARAMETERS angstrom
3.562 0.000 0.000
0.000 3.562 0.000
0.000 0.000 5.297
ATOMIC_POSITIONS angstrom
Cu 0.000 0.000 2.357
Se 1.781 1.781 4.171
Zn 0.000 0.000 5.187
Zn 1.781 1.781 1.529
```

Calculated values
Space group ... P4mm (99)
E_form (uncorrected) ... 55 meV per atom
V ... 67.2 Å³/f.u.
Raw total energy ... -0.0910 hartree per atom
Spin magnetization ... 0.00 Bohr magnetons per cell

***

Q: Look up the spin magnetization of the first one.
A: 3.35 Bohr magnetons per cell